{"formula": "Zr5NO2", "functional": "GGA-PBE", "state": "relaxed", "lattice_angstrom": [[5.505, -2.833, 0.000], [5.505, 2.833, 0.000], [-2.986, 0.000, 7.849]], "species": ["Zr", "Zr", "Zr", "Zr", "Zr", "Zr", "Zr", "Zr", "Zr", "Zr", "N", "N", "O", "O", "O", "O"], "frac_coords": [[0.040, 0.364, 0.648], [0.168, 0.832, 0.750], [0.226, 0.578, 0.054], [0.364, 0.040, 0.148], [0.422, 0.774, 0.446], [0.578, 0.226, 0.554], [0.636, 0.960, 0.852], [0.774, 0.422, 0.946], [0.832, 0.168, 0.250], [0.960, 0.636, 0.352], [0.000, 0.000, 0.000], [0.000, 0.000, 0.500], [0.397, 0.399, 0.808], [0.399, 0.397, 0.308], [0.601, 0.603, 0.692], [0.603, 0.601, 0.192]], "formation_energy_uncorrected_ev_per_atom": -1.731, "n_ef_per_ev_cell": 8.1, "sg": "No. 15", "dft_energy_ev_per_atom": -9.354}



{"formula": "Ce2Ho8Er", "functional": "GGA-PBE", "state": "relaxed", "lattice_angstrom": [[9.257, -3.480, 0.000], [9.257, 3.480, 0.000], [-0.251, 0.000, 5.527]], "species": ["Ce", "Ce", "Ho", "Ho", "Ho", "Ho", "Ho", "Ho", "Ho", "Ho", "Er"], "frac_coords": [[0.215, 0.215, 0.257], [0.785, 0.785, 0.743], [0.047, 0.047, 0.237], [0.102, 0.637, 0.265], [0.314, 0.314, 0.767], [0.363, 0.898, 0.735], [0.637, 0.102, 0.265], [0.686, 0.686, 0.233], [0.898, 0.363, 0.735], [0.953, 0.953, 0.763], [0.500, 0.500, 0.000]], "n_ef_per_ev_cell": 22.9, "sg": "No. 12", "formation_enthalpy_0k_ev_per_atom": 0.211, "dft_energy_ev_per_atom": -4.612}



{"formula": "BaTl2P2O6", "functional": "GGA-PBE", "state": "relaxed", "lattice_angstrom": [[4.786, -3.432, 0.000], [4.786, 3.432, 0.000], [-2.809, 0.000, 7.248]], "species": ["Ba", "Tl", "Tl", "P", "P", "O", "O", "O", "O", "O", "O"], "frac_coords": [[0.000, 0.000, 0.000], [0.206, 0.206, 0.647], [0.794, 0.794, 0.353], [0.458, 0.458, 0.116], [0.542, 0.542, 0.884], [0.286, 0.286, 0.028], [0.288, 0.662, 0.771], [0.338, 0.712, 0.229], [0.662, 0.288, 0.771], [0.712, 0.338, 0.229], [0.714, 0.714, 0.972]], "formation_energy_uncorrected_ev_per_atom": -1.980, "n_ef_per_ev_cell": 0.0, "sg": "No. 12", "dft_energy_ev_per_atom": -6.273}



{"formula": "LiAc2Bi", "functional": "GGA-PBE", "state": "relaxed", "lattice_angstrom": [[0.000, 4.120, 4.120], [4.120, 0.000, 4.120], [4.120, 4.120, 0.000]], "species": ["Li", "Ac", "Ac", "Bi"], "frac_coords": [[0.000, 0.000, 0.000], [0.250, 0.250, 0.250], [0.750, 0.750, 0.750], [0.500, 0.500, 0.500]], "n_ef_per_ev_cell": 5.9, "sg": "No. 225", "formation_enthalpy_0k_ev_per_atom": -0.324, "dft_energy_ev_per_atom": -3.827, "relative_energy_mev_per_atom": 84}



{"formula": "KYCdCu2", "functional": "GGA-PBE", "state": "relaxed", "lattice_angstrom": [[5.298, 0.000, 0.000], [0.000, 5.298, 0.000], [0.000, 0.000, 6.852]], "species": ["K", "Y", "Cd", "Cu", "Cu"], "frac_coords": [[0.000, 0.000, 0.000], [0.000, 0.000, 0.500], [0.500, 0.500, 0.000], [0.000, 0.500, 0.500], [0.500, 0.000, 0.500]], "n_ef_per_ev_cell": 6.1, "sg": "No. 123", "formation_enthalpy_0k_ev_per_atom": 0.951, "dft_energy_ev_per_atom": -2.383}



{"formula": "In2Si2Ag", "functional": "GGA-PBE", "state": "relaxed", "lattice_angstrom": [[-2.370, 2.370, 5.121], [2.370, -2.370, 5.121], [2.370, 2.370, -5.121]], "species": ["In", "In", "Si", "Si", "Ag"], "frac_coords": [[0.250, 0.750, 0.500], [0.750, 0.250, 0.500], [0.112, 0.112, 0.000], [0.888, 0.888, 0.000], [0.500, 0.500, 0.000]], "formation_energy_uncorrected_ev_per_atom": 0.418, "n_ef_per_ev_cell": 2.6, "sg": "No. 139", "dft_energy_ev_per_atom": -3.417, "relative_energy_mev_per_atom": 205}



{"formula": "Nd3AsRh", "functional": "GGA-PBE", "state": "relaxed", "lattice_angstrom": [[8.033, 0.000, 0.000], [0.000, 4.152, 0.000], [-2.206, 0.000, 8.140]], "species": ["Nd", "Nd", "Nd", "Nd", "Nd", "Nd", "As", "As", "Rh", "Rh"], "frac_coords": [[0.089, 0.250, 0.251], [0.315, 0.250, 0.947], [0.337, 0.750, 0.592], [0.663, 0.250, 0.408], [0.685, 0.750, 0.053], [0.911, 0.750, 0.749], [0.390, 0.750, 0.233], [0.610, 0.250, 0.767], [0.079, 0.250, 0.611], [0.921, 0.750, 0.389]], "n_ef_per_ev_cell": 9.6, "sg": "No. 11", "formation_enthalpy_0k_ev_per_atom": -0.814, "dft_energy_ev_per_atom": -6.075}



{"formula": "CsDyTc2O8", "functional": "GGA-PBE", "state": "relaxed", "lattice_angstrom": [[6.035, 0.000, 0.000], [-3.017, 5.226, 0.000], [0.000, 0.000, 8.449]], "species": ["Cs", "Dy", "Tc", "Tc", "O", "O", "O", "O", "O", "O", "O", "O"], "frac_coords": [[0.000, 0.000, 0.000], [0.000, 0.000, 0.500], [0.333, 0.667, 0.733], [0.667, 0.333, 0.267], [0.170, 0.343, 0.661], [0.172, 0.830, 0.661], [0.333, 0.667, 0.940], [0.343, 0.172, 0.339], [0.657, 0.828, 0.661], [0.667, 0.333, 0.060], [0.828, 0.170, 0.339], [0.830, 0.657, 0.339]], "formation_energy_uncorrected_ev_per_atom": -1.947, "n_ef_per_ev_cell": 6.9, "sg": "No. 147", "dft_energy_ev_per_atom": -7.435}



What did the sixth record say?
{"formula": "In2Si2Ag", "functional": "GGA-PBE", "state": "relaxed", "lattice_angstrom": [[-2.370, 2.370, 5.121], [2.370, -2.370, 5.121], [2.370, 2.370, -5.121]], "species": ["In", "In", "Si", "Si", "Ag"], "frac_coords": [[0.250, 0.750, 0.500], [0.750, 0.250, 0.500], [0.112, 0.112, 0.000], [0.888, 0.888, 0.000], [0.500, 0.500, 0.000]], "formation_energy_uncorrected_ev_per_atom": 0.418, "n_ef_per_ev_cell": 2.6, "sg": "No. 139", "dft_energy_ev_per_atom": -3.417, "relative_energy_mev_per_atom": 205}



Q: What is the formula in the eighth record?
A: CsDyTc2O8